1.
This record from Alexandria via LeMat-Bulk describes Y2ZnFeRe after structural relaxation. The functional is PBE.

Results
final energy = -6.17 eV per atom

Lattice parameters (Å, degrees): 4.969 4.969 4.517 90.00 90.00 90.00
Fractional coordinates of all 5 atoms:
Y  0.000  0.500  0.000
Y  0.500  0.000  0.000
Zn  0.000  0.000  0.500
Fe  0.000  0.000  0.000
Re  0.500  0.500  0.500



2.
This record from Alexandria via LeMat-Bulk describes ZnFe2Re after structural relaxation. The functional is PBE.

Results
final energy = -7.48 eV per atom

Lattice parameters (Å, degrees): 4.140 4.140 2.996 90.00 90.00 90.00
Fractional coordinates of all 4 atoms:
Zn  0.000  0.000  0.000
Fe  0.000  0.500  0.500
Fe  0.500  0.000  0.500
Re  0.500  0.500  0.000



3.
This record from Alexandria via LeMat-Bulk describes ZnFeRe2 after structural relaxation. The functional is PBE.

Results
final energy = -8.54 eV per atom

Lattice parameters (Å, degrees): 2.743 2.743 26.200 90.00 90.00 120.00
Fractional coordinates of all 12 atoms:
Zn  0.000  0.000  0.000
Zn  0.333  0.667  0.667
Zn  0.667  0.333  0.333
Fe  0.000  0.000  0.747
Fe  0.333  0.667  0.413
Fe  0.667  0.333  0.080
Re  0.000  0.000  0.245
Re  0.000  0.000  0.496
Re  0.333  0.667  0.163
Re  0.333  0.667  0.912
Re  0.667  0.333  0.578
Re  0.667  0.333  0.829



4.
This record from Alexandria via LeMat-Bulk describes ZnFe2Re after structural relaxation. The functional is PBE.

Results
final energy = -7.51 eV per atom

Lattice parameters (Å, degrees): 8.726 2.637 4.543 90.00 101.40 90.00
Fractional coordinates of all 8 atoms:
Zn  0.000  0.000  0.000
Zn  0.500  0.500  0.000
Fe  0.253  0.500  0.222
Fe  0.492  0.000  0.488
Fe  0.753  0.000  0.222
Fe  0.992  0.500  0.488
Re  0.239  0.000  0.703
Re  0.739  0.500  0.703



5.
This record from Alexandria via LeMat-Bulk describes ZnFe2Re after structural relaxation. The functional is PBE.

Results
final energy = -7.51 eV per atom

Lattice parameters (Å, degrees): 2.643 3.674 5.327 90.00 90.00 90.00
Fractional coordinates of all 4 atoms:
Zn  0.000  0.000  0.000
Fe  0.000  0.000  0.490
Fe  0.500  0.500  0.239
Re  0.500  0.500  0.709



6.
This record from Alexandria via LeMat-Bulk describes ZnFe2Re after structural relaxation. The functional is PBE.

Results
final energy = -7.45 eV per atom

Lattice parameters (Å, degrees): 3.713 3.713 7.387 90.00 90.00 90.00
Fractional coordinates of all 8 atoms:
Zn  0.000  0.000  0.000
Zn  0.500  0.500  0.500
Fe  0.000  0.000  0.500
Fe  0.000  0.500  0.750
Fe  0.500  0.000  0.250
Fe  0.500  0.500  0.000
Re  0.000  0.500  0.250
Re  0.500  0.000  0.750



7.
This record from Alexandria via LeMat-Bulk describes ZnFe2Re after structural relaxation. The functional is PBE.

Results
final energy = -7.52 eV per atom

Lattice parameters (Å, degrees): 2.667 2.667 25.397 90.00 90.00 120.00
Fractional coordinates of all 12 atoms:
Zn  0.000  0.000  0.000
Zn  0.333  0.667  0.667
Zn  0.667  0.333  0.333
Fe  0.000  0.000  0.250
Fe  0.000  0.000  0.750
Fe  0.333  0.667  0.417
Fe  0.333  0.667  0.916
Fe  0.667  0.333  0.084
Fe  0.667  0.333  0.583
Re  0.000  0.000  0.500
Re  0.333  0.667  0.167
Re  0.667  0.333  0.833



8.
This record from Alexandria via LeMat-Bulk describes ZnFeRe2 after structural relaxation. The functional is PBE.

Results
final energy = -8.43 eV per atom

Lattice parameters (Å, degrees): 2.615 4.283 5.128 90.00 101.86 90.00
Fractional coordinates of all 4 atoms:
Zn  0.000  0.000  0.000
Fe  0.500  0.000  0.500
Re  0.280  0.500  0.749
Re  0.720  0.500  0.251



9.
This record from Alexandria via LeMat-Bulk describes ZnFeRe2 after structural relaxation. The functional is PBE.

Results
final energy = -8.45 eV per atom

Lattice parameters (Å, degrees): 3.019 4.367 8.642 90.00 90.00 90.00
Fractional coordinates of all 8 atoms:
Zn  0.000  0.000  0.000
Zn  0.500  0.500  0.000
Fe  0.000  0.500  0.239
Fe  0.500  0.000  0.239
Re  0.000  0.000  0.477
Re  0.000  0.500  0.734
Re  0.500  0.000  0.734
Re  0.500  0.500  0.477



10.
This record from Alexandria via LeMat-Bulk describes ZnFeRe2 after structural relaxation. The functional is PBE.

Results
final energy = -8.47 eV per atom

Lattice parameters (Å, degrees): 3.208 4.195 8.152 90.00 90.00 90.00
Fractional coordinates of all 8 atoms:
Zn  0.000  0.000  0.000
Zn  0.500  0.500  0.500
Fe  0.000  0.500  0.739
Fe  0.500  0.000  0.239
Re  0.000  0.000  0.483
Re  0.000  0.500  0.237
Re  0.500  0.000  0.737
Re  0.500  0.500  0.983



11.
This record from Alexandria via LeMat-Bulk describes ZnFeRe2 after structural relaxation. The functional is PBE.

Results
final energy = -8.50 eV per atom

Lattice parameters (Å, degrees): 2.713 2.713 26.217 90.00 90.00 120.00
Fractional coordinates of all 12 atoms:
Zn  0.000  0.000  0.000
Zn  0.333  0.667  0.667
Zn  0.667  0.333  0.333
Fe  0.000  0.000  0.500
Fe  0.333  0.667  0.167
Fe  0.667  0.333  0.833
Re  0.000  0.000  0.245
Re  0.000  0.000  0.755
Re  0.333  0.667  0.421
Re  0.333  0.667  0.912
Re  0.667  0.333  0.088
Re  0.667  0.333  0.579



12.
This record from Alexandria via LeMat-Bulk describes ZnFe2Re after structural relaxation. The functional is PBE.

Results
final energy = -7.52 eV per atom

Lattice parameters (Å, degrees): 2.552 4.142 5.022 90.00 101.09 90.00
Fractional coordinates of all 4 atoms:
Zn  0.000  0.000  0.000
Fe  0.576  0.000  0.483
Fe  0.738  0.500  0.227
Re  0.294  0.500  0.714



13.
This record from Alexandria via LeMat-Bulk describes ZnFeRe2 after structural relaxation. The functional is PBE.

Results
final energy = -8.48 eV per atom

Lattice parameters (Å, degrees): 9.044 2.720 4.643 90.00 102.06 90.00
Fractional coordinates of all 8 atoms:
Zn  0.000  0.000  0.000
Zn  0.500  0.500  0.000
Fe  0.000  0.500  0.500
Fe  0.500  0.000  0.500
Re  0.238  0.000  0.740
Re  0.262  0.500  0.260
Re  0.738  0.500  0.740
Re  0.762  0.000  0.260



14.
This record from Alexandria via LeMat-Bulk describes Zn2Fe2Re after structural relaxation. The functional is PBE.

Results
final energy = -5.97 eV per atom

Lattice parameters (Å, degrees): 5.964 5.964 3.859 90.00 90.00 90.00
Fractional coordinates of all 10 atoms:
Zn  0.174  0.326  0.000
Zn  0.326  0.826  0.000
Zn  0.674  0.174  0.000
Zn  0.826  0.674  0.000
Fe  0.128  0.628  0.500
Fe  0.372  0.128  0.500
Fe  0.628  0.872  0.500
Fe  0.872  0.372  0.500
Re  0.000  0.000  0.500
Re  0.500  0.500  0.500



15.
This record from Alexandria via LeMat-Bulk describes ZnFeRe2 after structural relaxation. The functional is PBE.

Results
final energy = -8.43 eV per atom

Lattice parameters (Å, degrees): 8.974 2.773 4.587 90.00 101.91 90.00
Fractional coordinates of all 8 atoms:
Zn  0.000  0.000  0.000
Zn  0.500  0.500  0.000
Fe  0.251  0.000  0.771
Fe  0.751  0.500  0.771
Re  0.009  0.500  0.508
Re  0.257  0.500  0.280
Re  0.509  0.000  0.508
Re  0.757  0.000  0.280